# MgCrFe2, optimized geometry, DFT PBE-GGA
# SG   P4mm (99)
# Energy of formation   290 meV/atom
data_MgCrFe2
_symmetry_space_group_name_H-M 'P 1'
_symmetry_Int_Tables_number 1
_cell_length_a 2.999
_cell_length_b 2.999
_cell_length_c 6.137
_cell_angle_alpha 90.00
_cell_angle_beta 90.00
_cell_angle_gamma 90.00
loop_
_symmetry_equiv_pos_as_xyz
'x,y,z'
loop_
_atom_site_label
_atom_site_type_symbol
_atom_site_fract_x
_atom_site_fract_y
_atom_site_fract_z
_atom_site_occupancy
Mg1 Mg 0.000 0.000 0.000 1
Cr1 Cr 0.500 0.500 0.316 1
Fe1 Fe 0.000 0.000 0.505 1
Fe2 Fe 0.500 0.500 0.717 1

***

# TmMoC, optimized geometry, DFT PBE-GGA
# SG   P-6m2 (187)
# Energy of formation   201 meV/atom
data_TmMoC
_symmetry_space_group_name_H-M 'P 1'
_symmetry_Int_Tables_number 1
_cell_length_a 3.634
_cell_length_b 3.634
_cell_length_c 4.232
_cell_angle_alpha 90.00
_cell_angle_beta 90.00
_cell_angle_gamma 120.00
loop_
_symmetry_equiv_pos_as_xyz
'x,y,z'
loop_
_atom_site_label
_atom_site_type_symbol
_atom_site_fract_x
_atom_site_fract_y
_atom_site_fract_z
_atom_site_occupancy
Tm1 Tm 0.000 0.000 0.000 1
Mo1 Mo 0.667 0.333 0.500 1
C1 C 0.333 0.667 0.500 1

***

# KZr2Cd, optimized geometry, DFT PBE-GGA
# SG   Cm (8)
# Energy of formation   450 meV/atom
data_KZr2Cd
_symmetry_space_group_name_H-M 'P 1'
_symmetry_Int_Tables_number 1
_cell_length_a 10.563
_cell_length_b 3.053
_cell_length_c 7.540
_cell_angle_alpha 90.00
_cell_angle_beta 96.00
_cell_angle_gamma 90.00
loop_
_symmetry_equiv_pos_as_xyz
'x,y,z'
loop_
_atom_site_label
_atom_site_type_symbol
_atom_site_fract_x
_atom_site_fract_y
_atom_site_fract_z
_atom_site_occupancy
K1 K 0.000 0.000 0.000 1
K2 K 0.500 0.500 0.000 1
Zr1 Zr 0.224 0.000 0.636 1
Zr2 Zr 0.494 0.000 0.515 1
Zr3 Zr 0.724 0.500 0.636 1
Zr4 Zr 0.994 0.500 0.515 1
Cd1 Cd 0.260 0.500 0.295 1
Cd2 Cd 0.760 0.000 0.295 1

***

# Al2AgTe, optimized geometry, DFT PBE-GGA
# Formation energy without anion corrections   2.7 kJ/mol of atoms
# SG   Pmmm (47)
data_Al2AgTe
_symmetry_space_group_name_H-M 'P 1'
_symmetry_Int_Tables_number 1
_cell_length_a 2.954
_cell_length_b 3.695
_cell_length_c 7.722
_cell_angle_alpha 90.00
_cell_angle_beta 90.00
_cell_angle_gamma 90.00
loop_
_symmetry_equiv_pos_as_xyz
'x,y,z'
loop_
_atom_site_label
_atom_site_type_symbol
_atom_site_fract_x
_atom_site_fract_y
_atom_site_fract_z
_atom_site_occupancy
Al1 Al 0.000 0.000 0.207 1
Al2 Al 0.000 0.000 0.793 1
Ag1 Ag 0.500 0.500 0.000 1
Te1 Te 0.000 0.500 0.500 1

***

# Pr3CI, optimized geometry, DFT PBE-GGA
# Formation energy without anion corrections   -32.6 kJ/mol of atoms
# SG   P2_1/m (11)
data_Pr3CI
_symmetry_space_group_name_H-M 'P 1'
_symmetry_Int_Tables_number 1
_cell_length_a 5.193
_cell_length_b 7.446
_cell_length_c 8.598
_cell_angle_alpha 90.00
_cell_angle_beta 106.81
_cell_angle_gamma 90.00
loop_
_symmetry_equiv_pos_as_xyz
'x,y,z'
loop_
_atom_site_label
_atom_site_type_symbol
_atom_site_fract_x
_atom_site_fract_y
_atom_site_fract_z
_atom_site_occupancy
Pr1 Pr 0.009 0.250 0.018 1
Pr2 Pr 0.398 0.006 0.785 1
Pr3 Pr 0.398 0.494 0.785 1
Pr4 Pr 0.602 0.506 0.215 1
Pr5 Pr 0.602 0.994 0.215 1
Pr6 Pr 0.991 0.750 0.982 1
C1 C 0.497 0.250 0.994 1
C2 C 0.503 0.750 0.006 1
I1 I 0.210 0.250 0.429 1
I2 I 0.790 0.750 0.571 1

***

# BaPt2Au, optimized geometry, DFT PBE-GGA
# SG   R-3m (166)
# Energy of formation   306 meV/atom
data_BaPt2Au
_symmetry_space_group_name_H-M 'P 1'
_symmetry_Int_Tables_number 1
_cell_length_a 3.114
_cell_length_b 3.114
_cell_length_c 29.758
_cell_angle_alpha 90.00
_cell_angle_beta 90.00
_cell_angle_gamma 120.00
loop_
_symmetry_equiv_pos_as_xyz
'x,y,z'
loop_
_atom_site_label
_atom_site_type_symbol
_atom_site_fract_x
_atom_site_fract_y
_atom_site_fract_z
_atom_site_occupancy
Ba1 Ba 0.000 0.000 0.000 1
Ba2 Ba 0.333 0.667 0.667 1
Ba3 Ba 0.667 0.333 0.333 1
Pt1 Pt 0.000 0.000 0.241 1
Pt2 Pt 0.000 0.000 0.759 1
Pt3 Pt 0.333 0.667 0.425 1
Pt4 Pt 0.333 0.667 0.908 1
Pt5 Pt 0.667 0.333 0.092 1
Pt6 Pt 0.667 0.333 0.575 1
Au1 Au 0.000 0.000 0.500 1
Au2 Au 0.333 0.667 0.167 1
Au3 Au 0.667 0.333 0.833 1

***

| no. | ρ (g/cm3) |
| --- | --- |
| 1 | 5.66 |
| 2 | 9.50 |
| 3 | 4.59 |
| 4 | 5.70 |
| 5 | 5.86 |
| 6 | 14.44 |